Entry from Alexandria via LeMat-Bulk: an optimized crystal structure of Zn2Ni (GGA-PBEsol).

Its total DFT energy (no corrections) is -29.48 eV per cell. The calculation puts the total magnetization at 0.000 μB/cell. As for the energy of formation: -168 meV per atom.

The structure belongs to space group P-62m (No. 189); the cell edges are 7.0248, 7.0248 and 2.5828 Å and the angles 90.00°, 90.00° and 120.00°. Symmetry generates all atoms from Zn at (0.0000, 0.2999, 0.0000), Zn at (0.0000, 0.6308, 0.5000), Ni at (0.0000, 0.0000, 0.5000) and Ni at (0.3333, 0.6667, 0.0000).



Entry from Alexandria via LeMat-Bulk: an optimized crystal structure of Zn3Ni (GGA-PBEsol).

Its total DFT energy (no corrections) is -23.26 eV per cell. The calculation puts the total magnetization at 0.000 μB/cell. As for the energy of formation: -182 meV per atom.

The structure belongs to space group P6_3/mmc (No. 194); the cell edges are 5.2288, 5.2288 and 4.2067 Å and the angles 90.00°, 90.00° and 120.00°. Symmetry generates all atoms from Zn at (0.1703, 0.3406, 0.2500) and Ni at (0.3333, 0.6667, 0.7500).



Entry from Alexandria via LeMat-Bulk: an optimized crystal structure of ZnNi (GGA-PBEsol).

Its total DFT energy (no corrections) is -23.23 eV per cell. The calculation puts the total magnetization at 0.001 μB/cell. As for the energy of formation: 966 meV per atom.

The structure belongs to space group F-43m (No. 216); the cell edges are 5.247, 5.247 and 5.247 Å and the angles 90.00°, 90.00° and 90.00°. Symmetry generates all atoms from Zn at (0.000, 0.000, 0.000) and Ni at (0.250, 0.250, 0.750).